Entry 1:
Density functional theory data (PBE) for an optimized crystal structure of CsNdCdO3.

Cell and atoms, written as CIF:
```
data_CsNdCdO3
_space_group_name_H-M_alt 'P 1'
_space_group_IT_number 1
_space_group_name_Hall 'P 1'
_cell_length_a 7.357
_cell_length_b 7.357
_cell_length_c 9.540
_cell_angle_alpha 90.00
_cell_angle_beta 90.00
_cell_angle_gamma 150.52
loop_
_atom_site_label
_atom_site_fract_x
_atom_site_fract_y
_atom_site_fract_z
Cd1 0.921 0.079 0.250
Cd2 0.079 0.921 0.750
Cs1 0.198 0.802 0.250
Cs2 0.802 0.198 0.750
Nd1 0.500 0.500 0.000
Nd2 0.500 0.500 0.500
O1 0.894 0.106 0.032
O2 0.524 0.476 0.250
O3 0.894 0.106 0.468
O4 0.106 0.894 0.532
O5 0.476 0.524 0.750
O6 0.106 0.894 0.968
```

Theoretical density, Mg/m³: 5.72
Total magnetization, Bohr magnetons per cell: 0.00
Space group: No. 63
Energy, Ry per atom: -0.4061
V, Å³/f.u.: 127.06

Entry 2:
Density functional theory data (PBE) for an optimized crystal structure of CsNdCdSe3.

Cell and atoms, written as CIF:
```
data_CsNdCdSe3
_space_group_name_H-M_alt 'P 1'
_space_group_IT_number 1
_space_group_name_Hall 'P 1'
_cell_length_a 9.430
_cell_length_b 9.430
_cell_length_c 9.672
_cell_angle_alpha 102.25
_cell_angle_beta 102.25
_cell_angle_gamma 27.19
loop_
_atom_site_label
_atom_site_fract_x
_atom_site_fract_y
_atom_site_fract_z
Cd1 0.497 0.497 0.281
Cd2 0.503 0.503 0.719
Cs1 0.149 0.149 0.063
Cs2 0.851 0.851 0.937
Nd1 0.832 0.832 0.421
Nd2 0.168 0.168 0.579
Se1 0.500 0.500 0.000
Se2 0.344 0.344 0.229
Se3 0.665 0.665 0.368
Se4 0.000 0.000 0.500
Se5 0.335 0.335 0.632
Se6 0.656 0.656 0.771
```

Theoretical density, Mg/m³: 5.42
Total magnetization, Bohr magnetons per cell: 0.00
Space group: No. 12
Energy, Ry per atom: -0.2995
V, Å³/f.u.: 191.76

Entry 3:
Density functional theory data (PBE) for an optimized crystal structure of CsNdCdTe3.

Cell and atoms, written as CIF:
```
data_CsNdCdTe3
_space_group_name_H-M_alt 'P 1'
_space_group_IT_number 1
_space_group_name_Hall 'P 1'
_cell_length_a 8.904
_cell_length_b 8.904
_cell_length_c 12.060
_cell_angle_alpha 90.00
_cell_angle_beta 90.00
_cell_angle_gamma 30.02
loop_
_atom_site_label
_atom_site_fract_x
_atom_site_fract_y
_atom_site_fract_z
Cd1 0.463 0.463 0.250
Cd2 0.537 0.537 0.750
Cs1 0.749 0.749 0.250
Cs2 0.251 0.251 0.750
Nd1 0.000 0.000 0.000
Nd2 0.000 0.000 0.500
Te1 0.376 0.376 0.052
Te2 0.067 0.067 0.250
Te3 0.376 0.376 0.448
Te4 0.624 0.624 0.552
Te5 0.933 0.933 0.750
Te6 0.624 0.624 0.948
```

Theoretical density, Mg/m³: 5.36
Total magnetization, Bohr magnetons per cell: 0.00
Space group: No. 63
Energy, Ry per atom: -0.2772
V, Å³/f.u.: 239.21

Entry 4:
Density functional theory data (PBE) for an optimized crystal structure of CsCdNi.

Cell and atoms, written as CIF:
```
data_CsCdNi
_space_group_name_H-M_alt 'P 1'
_space_group_IT_number 1
_space_group_name_Hall 'P 1'
_cell_length_a 5.428
_cell_length_b 5.428
_cell_length_c 5.428
_cell_angle_alpha 60.00
_cell_angle_beta 60.00
_cell_angle_gamma 60.00
loop_
_atom_site_label
_atom_site_fract_x
_atom_site_fract_y
_atom_site_fract_z
Cd1 0.000 0.000 0.000
Cs1 0.250 0.250 0.250
Ni1 0.750 0.750 0.750
```

Theoretical density, Mg/m³: 4.46
Total magnetization, Bohr magnetons per cell: 0.70
Space group: No. 216
Energy, Ry per atom: -0.1177
V, Å³/f.u.: 113.11